Record 1
Material: Ta2NiIr
Method: DFT, SCAN
State: PBEsol geometry

abc: 2.8013 4.4756 4.8075
angles: 90.00 95.46 90.00
Last column: nearest neighbours and their distance in Å.
Space group Pm (No. 6)
One atom of each set of equivalent atoms:
Ta 0.0000 0.0000 0.0000  3 Ni 2.59-2.77, 4 Ir 2.65-2.81, 2 Ta 2.80
Ta 0.1670 0.5000 0.6222  4 Ni 2.64-2.78, 3 Ir 2.65-2.71, 4 Ta 2.80-2.95
Ni 0.5970 0.0000 0.4927  7 Ta 2.59-2.78, 2 Ir 2.80, 2 Ni 2.80
Ir 0.5771 0.5000 0.1413  7 Ta 2.65-2.81, 2 Ni 2.80, 2 Ir 2.80

Properties
For the calculated formation energy, the calculation gives -0.47 eV per atom. For the volume, the calculation gives 60.0 Å³ per cell. The total energy comes out at -222.32 eV/cell. The theoretical density comes out at 16.96 Mg/m³. As for the total magnetization: 0.0 μB/f.u.

Record 2
Material: TcNi2Ir
Method: DFT, SCAN
State: PBEsol geometry

abc: 3.6059 3.6059 7.4843
angles: 90.00 90.00 90.00
Last column: nearest neighbours and their distance in Å.
Space group I-4m2 (No. 119)
One atom of each set of equivalent atoms:
Tc 0.0000 0.0000 0.0000  8 Ni 2.55-2.60, 4 Ir 2.60
Ni 0.0000 0.0000 0.5000  4 Tc 2.55, 4 Ni 2.60, 4 Ir 2.60
Ni 0.0000 0.5000 0.7500  4 Ir 2.55, 4 Tc 2.60, 4 Ni 2.60
Ir 0.0000 0.5000 0.2500  8 Ni 2.55-2.60, 4 Tc 2.60

Properties
For the calculated formation energy, the calculation gives -0.10 eV per atom. The energy relative to the lowest polymorph listed for this composition is 0 meV per atom. For the volume, the calculation gives 97.3 Å³ per cell. The total energy comes out at -277.81 eV/cell. The theoretical density comes out at 13.91 Mg/m³. As for the total magnetization: 0.0 μB/f.u.

Record 3
Material: Tc2NiIr
Method: DFT, SCAN
State: PBEsol geometry

abc: 2.6589 2.6589 25.9061
angles: 90.00 90.00 120.00
Last column: nearest neighbours and their distance in Å.
Space group R-3m (No. 166, hexagonal axes)
One atom of each set of equivalent atoms:
Tc 0.0000 0.0000 0.2474  3 Ni 2.60, 6 Tc 2.66, 3 Ir 2.70
Ni 0.0000 0.0000 0.5000  6 Tc 2.60, 6 Ni 2.66
Ir 0.0000 0.0000 0.0000  6 Ir 2.66, 6 Tc 2.70

Properties
For the calculated formation energy, the calculation gives 0.03 eV per atom. The energy relative to the lowest polymorph listed for this composition is 238 meV per atom. For the volume, the calculation gives 158.6 Å³ per cell. The total energy comes out at -471.84 eV/cell. The theoretical density comes out at 14.04 Mg/m³. As for the total magnetization: 0.5 μB/f.u.

Record 4
Material: TcNi2Ir
Method: DFT, SCAN
State: PBEsol geometry

abc: 2.6418 3.6513 5.0881
angles: 90.00 90.00 90.00
Last column: nearest neighbours and their distance in Å.
Space group Pmm2 (No. 25)
One atom of each set of equivalent atoms:
Tc 0.0000 0.0000 0.0000  6 Ni 2.45-2.64, 4 Ir 2.60, 2 Tc 2.64
Ni 0.0000 0.0000 0.5189  2 Tc 2.45-2.64, 6 Ni 2.53-2.64, 4 Ir 2.63
Ni 0.5000 0.5000 0.7455  2 Ir 2.50-2.59, 6 Ni 2.53-2.64, 4 Tc 2.60
Ir 0.5000 0.5000 0.2538  6 Ni 2.50-2.63, 4 Tc 2.60, 2 Ir 2.64

Properties
For the calculated formation energy, the calculation gives -0.07 eV per atom. The energy relative to the lowest polymorph listed for this composition is 26 meV per atom. For the volume, the calculation gives 49.1 Å³ per cell. The total energy comes out at -138.80 eV/cell. The theoretical density comes out at 13.79 Mg/m³. As for the total magnetization: 0.0 μB/f.u.

Record 5
Material: Tc3NiIr
Method: DFT, SCAN
State: PBEsol geometry

abc: 4.5857 4.5857 4.5857
angles: 90.00 90.00 90.00
Last column: nearest neighbours and their distance in Å.
Space group Pm-3m (No. 221)
One atom of each set of equivalent atoms:
Tc 0.0000 0.0000 0.5000  2 Ir 2.29
Ni 0.5000 0.5000 0.5000  12 Tc 3.24
Ir 0.0000 0.0000 0.0000  6 Tc 2.29

Properties
For the calculated formation energy, the calculation gives 2.04 eV per atom. For the volume, the calculation gives 96.4 Å³ per cell. The total energy comes out at -182.25 eV/cell. The theoretical density comes out at 9.38 Mg/m³. As for the total magnetization: 2.9 μB/f.u.

Record 6
Material: Tc2NiIr
Method: DFT, SCAN
State: PBEsol geometry

abc: 5.1904 7.6597 2.6476
angles: 90.00 90.00 90.00
Last column: nearest neighbours and their distance in Å.
Space group Cmmm (No. 65)
One atom of each set of equivalent atoms:
Tc 0.2500 0.2500 0.0000  4 Tc 2.60-2.65, 4 Ni 2.67, 4 Ir 2.67
Ni 0.0000 0.0000 0.5000  2 Ir 2.60, 2 Ni 2.65, 8 Tc 2.67
Ir 0.0000 0.5000 0.5000  2 Ni 2.60, 2 Ir 2.65, 8 Tc 2.67

Properties
For the calculated formation energy, the calculation gives -0.07 eV per atom. The energy relative to the lowest polymorph listed for this composition is 139 meV per atom. For the volume, the calculation gives 105.3 Å³ per cell. The total energy comes out at -315.35 eV/cell. The theoretical density comes out at 14.10 Mg/m³. As for the total magnetization: 0.0 μB/f.u.

Record 7
Material: TcNi3Ir
Method: DFT, SCAN
State: PBEsol geometry

abc: 4.2525 4.2525 4.2525
angles: 90.00 90.00 90.00
Last column: nearest neighbours and their distance in Å.
Space group Pm-3m (No. 221)
One atom of each set of equivalent atoms:
Tc 0.0000 0.0000 0.0000  6 Ni 2.13
Ni 0.0000 0.0000 0.5000  2 Tc 2.13
Ir 0.5000 0.5000 0.5000  12 Ni 3.01

Properties
For the calculated formation energy, the calculation gives 1.82 eV per atom. For the volume, the calculation gives 76.9 Å³ per cell. The total energy comes out at -145.60 eV/cell. The theoretical density comes out at 10.07 Mg/m³. As for the total magnetization: 0.0 μB/f.u.

Record 8
Material: Tc2NiIr
Method: DFT, SCAN
State: PBEsol geometry

abc: 2.6688 4.2217 4.6481
angles: 90.00 90.00 90.00
Last column: nearest neighbours and their distance in Å.
Space group Pmm2 (No. 25)
One atom of each set of equivalent atoms:
Tc 0.0000 0.0000 0.0000  4 Tc 2.61-2.67, 4 Ir 2.64, 4 Ni 2.64-2.72
Tc 0.0000 0.5000 0.3299  4 Ni 2.61, 4 Tc 2.61-2.67, 4 Ir 2.62-2.75
Ni 0.5000 0.0000 0.4913  2 Ir 2.59, 8 Tc 2.61-2.72, 2 Ni 2.67
Ir 0.5000 0.5000 0.8137  2 Ni 2.59, 8 Tc 2.62-2.75, 2 Ir 2.67

Properties
For the calculated formation energy, the calculation gives -0.21 eV per atom. The energy relative to the lowest polymorph listed for this composition is 0 meV per atom. For the volume, the calculation gives 52.4 Å³ per cell. The total energy comes out at -158.23 eV/cell. The theoretical density comes out at 14.17 Mg/m³. As for the total magnetization: 0.0 μB/f.u.

Record 9
Material: TiTcNi2Ir
Method: DFT, SCAN
State: PBEsol geometry

abc: 4.1662 4.1662 4.4990
angles: 90.00 90.00 90.00
Last column: nearest neighbours and their distance in Å.
Space group P4/mmm (No. 123)
One atom of each set of equivalent atoms:
Ti 0.0000 0.0000 0.0000  4 Ni 2.08, 2 Ir 2.25
Tc 0.5000 0.5000 0.5000  4 Ir 2.95, 8 Ni 3.07
Ni 0.0000 0.5000 0.0000  2 Ti 2.08
Ir 0.0000 0.0000 0.5000  2 Ti 2.25

Properties
For the calculated formation energy, the calculation gives 1.18 eV per atom. For the volume, the calculation gives 78.1 Å³ per cell. The total energy comes out at -148.63 eV/cell. The theoretical density comes out at 9.69 Mg/m³. As for the total magnetization: 3.4 μB/f.u.

Record 10
Material: NiTeIr2
Method: DFT, SCAN
State: PBEsol geometry

abc: 3.0335 3.4985 5.6423
angles: 90.00 90.00 90.00
Last column: nearest neighbours and their distance in Å.
Space group Pmmm (No. 47)
One atom of each set of equivalent atoms:
Ni 0.0000 0.0000 0.0000  8 Ir 2.65, 2 Te 2.82
Te 0.0000 0.0000 0.5000  8 Ir 2.78, 2 Ni 2.82, 2 Te 3.03
Ir 0.5000 0.5000 0.2280  1 Ir 2.57, 4 Ni 2.65, 4 Te 2.78

Properties
The formation energy (no corrections) is 1.52 eV/f.u. For the volume, the calculation gives 59.9 Å³ per cell. The total energy comes out at -194.10 eV/cell. The theoretical density comes out at 15.83 Mg/m³. As for the total magnetization: 0.0 μB/f.u.

Record 11
Material: Ti2NiIr
Method: DFT, SCAN
State: PBEsol geometry

abc: 6.0611 6.0611 6.0611
angles: 90.00 90.00 90.00
Last column: nearest neighbours and their distance in Å.
Space group Fm-3m (No. 225)
One atom of each set of equivalent atoms:
Ti 0.2500 0.2500 0.2500  4 Ni 2.62, 4 Ir 2.62
Ni 0.0000 0.0000 0.0000  8 Ti 2.62
Ir 0.0000 0.0000 0.5000  8 Ti 2.62

Properties
For the calculated formation energy, the calculation gives -0.79 eV per atom. For the volume, the calculation gives 222.7 Å³ per cell. The total energy comes out at -489.92 eV/cell. The theoretical density comes out at 10.34 Mg/m³. As for the total magnetization: 0.0 μB/f.u.

Record 12
Material: TlNiIr2
Method: DFT, SCAN
State: PBEsol geometry

abc: 5.5930 7.4286 2.8912
angles: 90.00 90.00 90.00
Last column: nearest neighbours and their distance in Å.
Space group Cmmm (No. 65)
One atom of each set of equivalent atoms:
Tl 0.0000 0.0000 0.0000  8 Ir 2.74, 2 Ni 2.80, 2 Tl 2.89
Ni 0.0000 0.5000 0.0000  8 Ir 2.74, 2 Tl 2.80, 2 Ni 2.89
Ir 0.2500 0.2500 0.5000  4 Tl 2.74, 4 Ni 2.74, 4 Ir 2.80-2.89

Properties
For the calculated formation energy, the calculation gives 0.60 eV per atom. The energy relative to the lowest polymorph listed for this composition is 222 meV per atom. For the volume, the calculation gives 120.1 Å³ per cell. The total energy comes out at -456.64 eV/cell. The theoretical density comes out at 17.90 Mg/m³. As for the total magnetization: 0.0 μB/f.u.

Record 13
Material: TlNiIr2
Method: DFT, SCAN
State: PBEsol geometry

abc: 8.9199 2.8293 4.8307
angles: 90.00 101.10 90.00
Last column: nearest neighbours and their distance in Å.
Space group C2/m (No. 12)
One atom of each set of equivalent atoms:
Tl 0.0000 0.0000 0.0000  6 Ir 2.74-2.82, 4 Ni 2.80, 2 Tl 2.83
Ni 0.0000 0.5000 0.5000  6 Ir 2.62-2.73, 4 Tl 2.80, 2 Ni 2.83
Ir 0.2407 0.0000 0.7224  4 Ir 2.60-2.83, 3 Ni 2.62-2.73, 3 Tl 2.74-2.82

Properties
For the calculated formation energy, the calculation gives 0.38 eV per atom. The energy relative to the lowest polymorph listed for this composition is 0 meV per atom. For the volume, the calculation gives 119.6 Å³ per cell. The total energy comes out at -458.41 eV/cell. The theoretical density comes out at 17.98 Mg/m³. As for the total magnetization: 1.0 μB/f.u.

Record 14
Material: Tl3NiIr
Method: DFT, SCAN
State: PBEsol geometry

abc: 5.1737 5.1737 5.1737
angles: 90.00 90.00 90.00
Last column: nearest neighbours and their distance in Å.
Space group Pm-3m (No. 221)
One atom of each set of equivalent atoms:
Tl 0.0000 0.0000 0.5000  2 Ir 2.59
Ni 0.5000 0.5000 0.5000  12 Tl 3.66
Ir 0.0000 0.0000 0.0000  6 Tl 2.59

Properties
For the calculated formation energy, the calculation gives 0.76 eV per atom. For the volume, the calculation gives 138.5 Å³ per cell. The total energy comes out at -300.56 eV/cell. The theoretical density comes out at 10.36 Mg/m³. As for the total magnetization: 1.2 μB/f.u.

Record 15
Material: Tl2NiIr
Method: DFT, SCAN
State: PBEsol geometry

abc: 4.3914 4.3914 7.0850
angles: 90.00 90.00 90.00
Last column: nearest neighbours and their distance in Å.
Space group I4/mmm (No. 139)
One atom of each set of equivalent atoms:
Tl 0.0000 0.5000 0.2500  4 Ni 2.82, 4 Ir 2.82, 4 Tl 3.11
Ni 0.0000 0.0000 0.0000  8 Tl 2.82, 4 Ir 3.11
Ir 0.0000 0.0000 0.5000  8 Tl 2.82, 4 Ni 3.11

Properties
For the calculated formation energy, the calculation gives 0.57 eV per atom. For the volume, the calculation gives 136.6 Å³ per cell. The total energy comes out at -459.39 eV/cell. The theoretical density comes out at 16.03 Mg/m³. As for the total magnetization: 0.5 μB/f.u.